# GGA-PBE Hf2GaReCl, optimized geometry
# Uncorrected energy: -6.290 eV/atom
# Size of the total moment: 0.3 μB/f.u.
data_Hf2GaReCl
_chemical_formula_sum 'Hf2 Ga1 Re1 Cl1'
_space_group_name_H-M_alt 'P 4/m m m'
_space_group_IT_number 123
_space_group_name_Hall '-P 4 2'
_cell_length_a 5.075
_cell_length_b 5.075
_cell_length_c 4.550
_cell_angle_alpha 90.00
_cell_angle_beta 90.00
_cell_angle_gamma 90.00
loop_
_atom_site_label
_atom_site_fract_x
_atom_site_fract_y
_atom_site_fract_z
_atom_site_occupancy
Hf1 0.000 0.500 0.000 1
Ga1 0.000 0.000 0.000 1
Re1 0.000 0.000 0.500 1
Cl1 0.500 0.500 0.500 1



# GGA-PBE CeCdBiAu, optimized geometry
# Uncorrected energy: -3.897 eV/atom
# Size of the total moment: 0.9 μB/f.u.
# Energy relative to the elements: -0.395 eV per atom
data_CeCdBiAu
_chemical_formula_sum 'Ce4 Cd4 Bi4 Au4'
_space_group_name_H-M_alt 'F -4 3 m'
_space_group_IT_number 216
_space_group_name_Hall 'F -4 2 3'
_cell_length_a 7.443
_cell_length_b 7.443
_cell_length_c 7.443
_cell_angle_alpha 90.00
_cell_angle_beta 90.00
_cell_angle_gamma 90.00
loop_
_atom_site_label
_atom_site_fract_x
_atom_site_fract_y
_atom_site_fract_z
_atom_site_occupancy
Ce1 0.000 0.000 0.000 1
Cd1 0.000 0.000 0.500 1
Bi1 0.250 0.250 0.250 1
Au1 0.250 0.250 0.750 1



# GGA-PBE K3Nd2MnS6, optimized geometry
# Uncorrected energy: -5.332 eV/atom
# Size of the total moment: 4.0 μB/f.u.
data_K3Nd2MnS6
_chemical_formula_sum 'K6 Nd4 Mn2 S12'
_space_group_name_H-M_alt 'C 1 2/m 1'
_space_group_IT_number 12
_cell_length_a 6.961
_cell_length_b 12.240
_cell_length_c 7.728
_cell_angle_alpha 90.00
_cell_angle_beta 107.41
_cell_angle_gamma 90.00
loop_
_space_group_symop_operation_xyz
'x,y,z'
'-x,-y,-z'
'-x,y,-z'
'x,-y,z'
'x+1/2,y+1/2,z'
'-x+1/2,-y+1/2,-z'
'-x+1/2,y+1/2,-z'
'x+1/2,-y+1/2,z'
loop_
_atom_site_label
_atom_site_fract_x
_atom_site_fract_y
_atom_site_fract_z
_atom_site_occupancy
K1 0.000 0.000 0.000 1
K2 0.000 0.332 0.000 1
Nd1 0.000 0.169 0.500 1
Mn1 0.000 0.500 0.500 1
S1 0.226 0.500 0.315 1
S2 0.227 0.344 0.705 1



# GGA-PBE BaPmPd, optimized geometry
# ΔE to the lowest computed polymorph: 0.015 eV/atom
# Uncorrected energy: -4.325 eV/atom
# Size of the total moment: 0.0 μB/f.u.
# Energy relative to the elements: -0.370 eV per atom
data_BaPmPd
_chemical_formula_sum 'Ba4 Pm4 Pd4'
_space_group_name_H-M_alt 'C 1 m 1'
_space_group_IT_number 8
_cell_length_a 7.381
_cell_length_b 4.257
_cell_length_c 14.434
_cell_angle_alpha 90.00
_cell_angle_beta 99.88
_cell_angle_gamma 90.00
loop_
_space_group_symop_operation_xyz
'x,y,z'
'x,-y,z'
'x+1/2,y+1/2,z'
'x+1/2,-y+1/2,z'
loop_
_atom_site_label
_atom_site_fract_x
_atom_site_fract_y
_atom_site_fract_z
_atom_site_occupancy
Ba1 0.000 0.000 0.000 1
Ba2 0.242 0.000 0.728 1
Pm1 0.153 0.000 0.460 1
Pm2 0.412 0.000 0.237 1
Pd1 0.026 0.500 0.580 1
Pd2 0.280 0.500 0.341 1



# GGA-PBE CdAs2P, optimized geometry
# ΔE to the lowest computed polymorph: 0.242 eV/atom
# Uncorrected energy: -3.553 eV/atom
# Size of the total moment: 0.0 μB/f.u.
# Energy relative to the elements: 0.353 eV per atom
data_CdAs2P
_chemical_formula_sum 'Cd1 As2 P1'
_space_group_name_H-M_alt 'P 4 m m'
_space_group_IT_number 99
_cell_length_a 3.320
_cell_length_b 3.320
_cell_length_c 7.423
_cell_angle_alpha 90.00
_cell_angle_beta 90.00
_cell_angle_gamma 90.00
loop_
_space_group_symop_operation_xyz
'x,y,z'
'-y,x,z'
'-x,-y,z'
'y,-x,z'
'-x,y,z'
'y,x,z'
'x,-y,z'
'-y,-x,z'
loop_
_atom_site_label
_atom_site_fract_x
_atom_site_fract_y
_atom_site_fract_z
_atom_site_occupancy
Cd1 0.000 0.000 0.000 1
As1 0.000 0.000 0.417 1
As2 0.500 0.500 0.760 1
P1 0.500 0.500 0.288 1



# GGA-PBE Ca5Y3, optimized geometry
# Uncorrected energy: -3.536 eV/atom
# Size of the total moment: 3.1 μB/f.u.
# Energy relative to the elements: 0.139 eV per atom
data_Ca5Y3
_chemical_formula_sum 'Ca10 Y6'
_space_group_name_H-M_alt 'C m m m'
_space_group_IT_number 65
_space_group_name_Hall '-C 2 2'
_cell_length_a 10.558
_cell_length_b 10.914
_cell_length_c 5.242
_cell_angle_alpha 90.00
_cell_angle_beta 90.00
_cell_angle_gamma 90.00
loop_
_atom_site_label
_atom_site_fract_x
_atom_site_fract_y
_atom_site_fract_z
_atom_site_occupancy
Ca1 0.000 0.000 0.000 1
Ca2 0.000 0.250 0.500 1
Ca3 0.250 0.250 0.000 1
Y1 0.000 0.500 0.000 1
Y2 0.233 0.500 0.500 1